No. 1
Density functional theory data (GGA-PBE) for an optimized crystal structure of RePO2F.

a = 4.0211 Å, b = 4.0211 Å, c = 3.5064 Å
α = 90.00°, β = 90.00°, γ = 90.00°
Space group P4/mmm (No. 123)
Symmetry-distinct sites (fractional):
Re: 0.0000 0.0000 0.0000
P: 0.5000 0.5000 0.0000
O: 0.0000 0.5000 0.5000
F: 0.5000 0.5000 0.5000

Results
Its spin magnetization is 2.633 μB/f.u. Its raw formation energy is 1.113 eV per atom. As for the density of states at the Fermi level: 2.59 states/eV per cell. The total energy is -0.354 Ry/atom.

---

No. 2
Density functional theory data (GGA-PBE) for an optimized crystal structure of Ti7GaPd2.

a = 9.2226 Å, b = 9.2226 Å, c = 9.2226 Å
α = 90.00°, β = 90.00°, γ = 90.00°
Space group Fm-3m (No. 225)
Symmetry-distinct sites (fractional):
Ti: 0.0000 0.0000 0.0000
Ti: 0.0000 0.0000 0.2460
Ga: 0.0000 0.0000 0.5000
Pd: 0.2500 0.2500 0.2500

Results
Its spin magnetization is 2.275 μB/f.u. As for the density of states at the Fermi level: 70.14 states/eV per cell. The total energy is -0.448 Ry/atom. For the formation energy, the calculation gives 0.77 eV/atom.